# ZrSbMo, optimized geometry, DFT PBE
data_ZrSbMo
_chemical_formula_sum 'Zr1 Sb1 Mo1'
_cell_length_a 4.679
_cell_length_b 4.679
_cell_length_c 4.679
_cell_angle_alpha 60.00
_cell_angle_beta 60.00
_cell_angle_gamma 60.00
_symmetry_space_group_name_H-M 'P 1'
_symmetry_Int_Tables_number 1
_symmetry_space_group_name_Hall 'P 1'
loop_
_atom_site_label
_atom_site_fract_x
_atom_site_fract_y
_atom_site_fract_z
Zr1 0.250 0.250 0.250
Mo1 0.000 0.000 0.000
Sb1 0.500 0.500 0.500
# raw formation energy	631.5	meV per atom
# magnetic moment	0.053	μB per atom
# D(E_F)	2.098	states/eV per atom
# relative energy among the computed polymorphs	219	kJ/mol of formula units